This record from the Alexandria database describes a relaxed structure of BaFe2. The functional is PBE-GGA.

Geometry as POSCAR:
```
BaFe2
1.0
-2.888 -1.181 -2.719
-2.822 -3.191 4.384
-6.474 9.504 2.750
Fe Ba
8 4
Direct
0.250 0.600 0.032
0.750 0.117 0.377
0.250 0.883 0.623
0.250 0.100 0.468
0.750 0.900 0.532
0.750 0.617 0.123
0.750 0.400 0.968
0.250 0.383 0.877
0.750 0.885 0.856
0.250 0.615 0.356
0.750 0.385 0.644
0.250 0.115 0.144
```

Results
**Electronic total energy**: -68.8 eV/cell
**DOS at the Fermi energy**: 1.016 states/eV/atom
**SG**: No. 62
**E_form**: 0.55 eV/atom

=====

This record from the Alexandria database describes a relaxed structure of BaFe. The functional is PBE-GGA.

Geometry as POSCAR:
```
BaFe
1.0
-1.531 3.453 1.761
-1.248 -1.122 -3.815
-3.355 -2.409 1.806
Fe Ba
1 1
Direct
0.667 0.333 0.500
0.000 0.000 0.000
```

Results
**Electronic total energy**: -8.1 eV/cell
**DOS at the Fermi energy**: 2.918 states/eV/atom
**SG**: No. 187
**E_form**: 1.14 eV/atom

=====

This record from the Alexandria database describes a relaxed structure of Ba3Fe. The functional is PBE-GGA.

Geometry as POSCAR:
```
Ba3Fe
1.0
-2.266 -3.389 6.014
2.212 -4.242 -5.468
3.650 6.208 0.963
Ba Fe
3 1
Direct
0.500 0.000 0.500
0.000 0.000 0.000
0.000 0.500 0.500
0.500 0.500 0.000
```

Results
**Energy above the lowest structure with this stoichiometry**: 446 meV/atom
**Electronic total energy**: -11.2 eV/cell
**DOS at the Fermi energy**: 2.475 states/eV/atom
**SG**: No. 166
**E_form**: 0.75 eV/atom

=====

This record from the Alexandria database describes a relaxed structure of Ba4Fe5. The functional is PBE-GGA.

Geometry as POSCAR:
```
Ba4Fe5
1.0
-9.336 -0.423 -0.648
4.712 -6.857 4.306
-0.552 3.273 5.816
Ba Fe
8 10
Direct
0.000 0.000 0.500
0.000 0.000 0.000
0.631 0.631 0.250
0.369 0.000 0.250
0.000 0.631 0.750
0.631 0.000 0.750
0.000 0.369 0.250
0.369 0.369 0.750
0.333 0.667 0.000
0.333 0.667 0.500
0.000 0.677 0.250
0.667 0.333 0.000
0.677 0.677 0.750
0.000 0.323 0.750
0.677 0.000 0.250
0.323 0.000 0.750
0.667 0.333 0.500
0.323 0.323 0.250
```

Results
**Electronic total energy**: -80.0 eV/cell
**DOS at the Fermi energy**: 1.812 states/eV/atom
**SG**: No. 193
**E_form**: 1.11 eV/atom

=====

This record from the Alexandria database describes a relaxed structure of Ba3Fe. The functional is PBE-GGA.

Geometry as POSCAR:
```
Ba3Fe
1.0
5.478 0.000 0.000
0.000 5.311 0.000
0.000 0.000 6.438
Ba Fe
3 1
Direct
0.500 0.000 0.439
0.500 0.500 0.945
0.000 0.000 0.978
0.000 0.500 0.304
```

Results
**Energy above the lowest structure with this stoichiometry**: 342 meV/atom
**Electronic total energy**: -11.6 eV/cell
**DOS at the Fermi energy**: 2.182 states/eV/atom
**SG**: No. 25
**E_form**: 0.65 eV/atom

=====

This record from the Alexandria database describes a relaxed structure of Ba3Fe2. The functional is PBE-GGA.

Geometry as POSCAR:
```
Ba3Fe2
1.0
-8.712 -8.955 -1.947
-6.560 -10.726 1.344
-9.684 -7.853 2.107
Ba Fe
3 2
Direct
0.779 0.779 0.779
0.221 0.221 0.221
0.000 0.000 0.000
0.391 0.391 0.391
0.609 0.609 0.609
```

Results
**Energy above the lowest structure with this stoichiometry**: 149 meV/atom
**Electronic total energy**: -18.5 eV/cell
**DOS at the Fermi energy**: 2.675 states/eV/atom
**SG**: No. 166
**E_form**: 0.84 eV/atom

=====

This record from the Alexandria database describes a relaxed structure of BaFe2. The functional is PBE-GGA.

Geometry as POSCAR:
```
BaFe2
1.0
-5.519 -3.324 3.390
4.718 -4.427 3.339
0.537 4.728 5.510
Fe Ba
8 4
Direct
0.582 0.918 0.918
0.082 0.582 0.082
0.582 0.582 0.418
0.418 0.418 0.582
0.918 0.082 0.418
0.918 0.418 0.918
0.082 0.918 0.582
0.418 0.082 0.082
0.000 0.000 0.000
0.500 0.500 0.000
0.500 0.000 0.500
0.000 0.500 0.500
```

Results
**Electronic total energy**: -57.2 eV/cell
**DOS at the Fermi energy**: 1.436 states/eV/atom
**SG**: No. 205
**E_form**: 1.52 eV/atom

=====

This record from the Alexandria database describes a relaxed structure of Ba4Fe. The functional is PBE-GGA.

Geometry as POSCAR:
```
Ba4Fe
1.0
-2.422 -1.221 -5.831
-1.364 -6.013 1.826
-5.799 1.925 2.006
Ba Fe
4 1
Direct
0.000 0.500 0.500
0.500 0.000 0.500
0.500 0.500 0.000
0.000 0.000 0.000
0.500 0.500 0.500
```

Results
**Energy above the lowest structure with this stoichiometry**: 0 meV/atom
**Electronic total energy**: -14.5 eV/cell
**DOS at the Fermi energy**: 1.126 states/eV/atom
**SG**: No. 221
**E_form**: 0.33 eV/atom

=====

Record-wise magnetization values, in μB/f.u.: 4.3 2.3 2.8 12.8 1.9 4.3 5.9 2.0